1.
Material: LaFeCl2
Method: DFT, PBE-GGA
State: relaxed

- distance to the lowest polymorph of the same formula (eV/atom) = 0.228
- DOS(E_F) (states/eV/f.u.) = 3.74
- spin magnetization (μB/cell) = 6.00

Structure (CIF):
```
data_LaFeCl2
_symmetry_space_group_name_H-M 'I 4/m m m'
_symmetry_Int_Tables_number 139
_symmetry_space_group_name_Hall '-I 4 2'
_cell_length_a 4.5835
_cell_length_b 4.5835
_cell_length_c 8.2961
_cell_angle_alpha 90.00
_cell_angle_beta 90.00
_cell_angle_gamma 90.00
loop_
_atom_site_label
_atom_site_type_symbol
_atom_site_fract_x
_atom_site_fract_y
_atom_site_fract_z
_atom_site_occupancy
La1 La 0.0000 0.0000 0.0000 1
Fe1 Fe 0.0000 0.0000 0.5000 1
Cl1 Cl 0.0000 0.5000 0.2500 1
```

2.
Material: Pa3AgP4N12
Method: DFT, PBE-GGA
State: relaxed

- spin magnetization (μB/cell) = 0.00

Structure (CIF):
```
data_Pa3AgP4N12
_symmetry_space_group_name_H-M 'R 3 2'
_symmetry_Int_Tables_number 155
_symmetry_space_group_name_Hall 'R 3 2"'
_cell_length_a 10.9120
_cell_length_b 10.9120
_cell_length_c 8.8770
_cell_angle_alpha 90.00
_cell_angle_beta 90.00
_cell_angle_gamma 120.00
loop_
_atom_site_label
_atom_site_type_symbol
_atom_site_fract_x
_atom_site_fract_y
_atom_site_fract_z
_atom_site_occupancy
Pa1 Pa 0.0000 0.5431 0.0000 1
Ag1 Ag 0.0000 0.0000 0.0000 1
P1 P 0.0000 0.0000 0.5000 1
P2 P 0.0000 0.4549 0.5000 1
N1 N 0.0000 0.6013 0.5000 1
N2 N 0.0000 0.8554 0.5000 1
N3 N 0.0204 0.2107 0.1952 1
```

In order of appearance, total energy = -0.3651; -0.6073 Ry/atom.